Record 1
Crystalline Ga2SiAg at its relaxed geometry. Source: the Alexandria database, functional PBE.

Output
Total moment ... 0.0 μB per cell
ΔE_f (raw) ... 0.22 eV/atom

```
4
Lattice="1.4565 0.8409 9.9241 -1.4565 0.8409 9.9241 0.0000 -1.6818 9.9241" Properties=species:S:1:pos:R:3 pbc="T T T"
Ga 0.0000 0.0000 2.6817
Ga 0.0000 0.0000 27.0905
Si 0.0000 0.0000 14.8861
Ag 0.0000 0.0000 0.0000
```

Record 2
Crystalline Cs3Ag2Cl7 at its relaxed geometry. Source: the Alexandria database, functional PBE.

Output
Total moment ... 0.0 μB per cell
ΔE_f (raw) ... -1.23 eV/atom

```
12
Lattice="-2.6267 2.6267 13.6433 2.6267 -2.6267 13.6433 2.6267 2.6267 -13.6433" Properties=species:S:1:pos:R:3 pbc="T T T"
Cs 0.0000 0.0000 0.0000
Cs 0.0000 0.0000 4.9381
Cs 0.0000 0.0000 22.3484
Ag 0.0000 0.0000 11.0701
Ag 0.0000 0.0000 16.2165
Cl 2.6267 0.0000 2.5166
Cl 0.0000 0.0000 8.4867
Cl 2.6267 0.0000 11.1267
Cl 0.0000 0.0000 13.6433
Cl 0.0000 2.6267 2.5166
Cl 0.0000 0.0000 18.7999
Cl 0.0000 2.6267 11.1267
```

Record 3
Crystalline Ac3TbNd2Se6 at its relaxed geometry. Source: the Alexandria database, functional PBE.

Output
Total moment ... 0.0 μB per cell
ΔE_f (raw) ... -1.84 eV/atom

```
12
Lattice="3.7130 -6.4520 0.0000 3.7130 6.4520 0.0000 -2.4878 0.0000 7.1604" Properties=species:S:1:pos:R:3 pbc="T T T"
Ac 0.0000 0.0000 0.0000
Ac 3.7130 2.1957 0.0000
Ac 3.7130 -2.1957 0.0000
Tb 2.4691 0.0000 3.5802
Nd 2.4691 4.3029 3.5802
Nd 2.4691 -4.3029 3.5802
Se 1.2649 2.1014 1.9385
Se 0.0490 0.0000 5.2508
Se 1.2649 -2.1014 1.9385
Se 3.6733 2.1014 5.2219
Se 4.8892 0.0000 1.9097
Se 3.6733 -2.1014 5.2219
```

Record 4
Crystalline PuOsRu at its relaxed geometry. Source: the Alexandria database, functional PBE.

Output
Total moment ... 8.5 μB per cell
ΔE_f ... -106 meV/atom

```
6
Lattice="-2.6079 2.7076 3.7954 2.6079 -2.7076 3.7954 2.6079 2.7076 -3.7954" Properties=species:S:1:pos:R:3 pbc="T T T"
Pu 0.0000 1.3538 0.9507
Pu 2.6079 1.3538 2.8447
Os 1.3039 1.3538 -1.8977
Os 1.3039 -1.3538 1.8977
Ru 2.6079 0.0000 0.0000
Ru 0.0000 0.0000 3.7954
```

Record 5
Crystalline Ti2CdFe at its relaxed geometry. Source: the Alexandria database, functional PBE.

Output
Total moment ... 0.1 μB per cell
ΔE_f ... -143 meV/atom

```
4
Lattice="3.0113 0.0000 0.0000 0.0000 3.0113 0.0000 0.0000 0.0000 7.0569" Properties=species:S:1:pos:R:3 pbc="T T T"
Ti 0.0000 0.0000 1.4342
Ti 0.0000 0.0000 5.6228
Cd 1.5056 1.5056 3.5285
Fe 1.5056 1.5056 0.0000
```

Record 6
Crystalline CsCd2InHg8 at its relaxed geometry. Source: the Alexandria database, functional PBE.

Output
Total moment ... 0.0 μB per cell
ΔE_f ... -58 meV/atom

```
12
Lattice="5.3209 -3.4904 0.0000 5.3209 3.4904 0.0000 -4.7092 0.0000 9.7026" Properties=species:S:1:pos:R:3 pbc="T T T"
Cs 0.0000 0.0000 0.0000
Cd 0.6582 0.0000 6.9187
Cd 5.2743 0.0000 2.7839
In 2.9663 0.0000 4.8513
Hg 2.5482 1.8419 2.4781
Hg -0.4412 0.0000 4.0536
Hg 3.7140 0.0000 0.0626
Hg 3.3843 1.8419 7.2245
Hg 2.5482 -1.8419 2.4781
Hg 2.2186 0.0000 9.6399
Hg 6.3737 0.0000 5.6490
Hg 3.3843 -1.8419 7.2245
```

Record 7
Crystalline Cd4SiO5 at its relaxed geometry. Source: the Alexandria database, functional PBE.

Output
Total moment ... 0.0 μB per cell
ΔE_f (raw) ... -1.25 eV/atom

```
10
Lattice="-3.8741 3.8741 2.1952 3.8741 -3.8741 2.1952 3.8741 3.8741 -2.1952" Properties=species:S:1:pos:R:3 pbc="T T T"
Cd 5.3014 0.7438 0.0000
Cd 0.7438 2.4468 0.0000
Cd 3.1303 1.4273 2.1952
Cd -1.4273 3.1303 2.1952
Si 0.0000 0.0000 1.9458
O 0.0000 0.0000 0.2487
O 3.0465 2.3080 0.0399
O 1.5661 -0.8275 2.2351
O 2.3080 4.7016 0.0399
O 0.8275 1.5661 2.2351
```

Record 8
Crystalline Cr2OsC at its relaxed geometry. Source: the Alexandria database, functional PBE.

Output
Total moment ... 3.7 μB per cell
ΔE_f ... 840 meV/atom

```
8
Lattice="-2.5871 2.5871 4.1517 2.5871 -2.5871 4.1517 2.5871 2.5871 -4.1517" Properties=species:S:1:pos:R:3 pbc="T T T"
Cr 3.8806 0.8968 -1.0379
Cr 0.8968 1.2935 1.0379
Cr -1.2935 1.6903 3.1138
Cr 1.6903 1.2935 5.1897
Os 2.5871 0.0000 2.0759
Os 0.0000 0.0000 4.1517
C 0.0000 0.0000 0.0000
C 0.0000 2.5871 2.0759
```

Record 9
Crystalline Li2EuEr at its relaxed geometry. Source: the Alexandria database, functional PBE.

Output
Total moment ... 8.0 μB per cell
ΔE_f ... 311 meV/atom
Energy above the lowest structure with this stoichiometry ... 175 meV per atom

```
4
Lattice="1.6952 0.9787 12.1854 -1.6952 0.9787 12.1854 0.0000 -1.9574 12.1854" Properties=species:S:1:pos:R:3 pbc="T T T"
Li 0.0000 0.0000 3.1166
Li 0.0000 0.0000 33.4396
Eu 0.0000 0.0000 18.2781
Er 0.0000 0.0000 0.0000
```

Record 10
Crystalline Ce2RhPb at its relaxed geometry. Source: the Alexandria database, functional PBE.

Output
Total moment ... 1.4 μB per cell
ΔE_f ... -448 meV/atom
Energy above the lowest structure with this stoichiometry ... 87 meV per atom

```
4
Lattice="1.9271 1.1126 8.7398 -1.9271 1.1126 8.7398 0.0000 -2.2252 8.7398" Properties=species:S:1:pos:R:3 pbc="T T T"
Ce 0.0000 0.0000 0.0000
Ce 0.0000 0.0000 5.3212
Rh 0.0000 0.0000 15.8166
Pb 0.0000 0.0000 11.3887
```